1.
BSbP3 | the Alexandria database | PBE | relaxed; total magnetic moment = 0.000 μB/atom; symmetry = Pm-3m, No. 221; energy relative to the elements, uncorrected = 0.75 eV per atom; energy relative to the lowest polymorph listed for this composition = 0.00 eV/f.u.
1.0
4.258 0.000 0.000
0.000 4.258 0.000
0.000 0.000 4.258
Sb B P
1 1 3
Direct
0.500 0.500 0.500
0.000 0.000 0.000
0.000 0.500 0.000
0.000 0.000 0.500
0.500 0.000 0.000



2.
BSbP3 | the Alexandria database | PBE | relaxed; total magnetic moment = 0.000 μB/atom; symmetry = Pm-3m, No. 221; energy relative to the elements, uncorrected = 2.09 eV per atom; energy relative to the lowest polymorph listed for this composition = 6.69 eV/f.u.
1.0
-4.411 -1.299 -2.076
-1.480 -1.994 4.392
-1.951 4.449 1.362
Sb B P
1 1 3
Direct
0.000 0.000 0.000
0.500 0.500 0.500
0.000 0.500 0.000
0.000 0.000 0.500
0.500 0.000 0.000